P) Below is an optimized crystal structure of TlSnTe2I, with properties calculated at the PBE level.

Summary:
SG = P4/mmm
crystal system = tetragonal

Unit cell a=5.7467 b=5.7467 c=6.2210 alpha=90.00 beta=90.00 gamma=90.00
Sites, in units of the cell vectors:
Sn 0.0000 0.0000 0.0000
I 0.0000 0.0000 0.5000
Te 0.5000 0.0000 0.0000
Te 0.0000 0.5000 0.0000
Tl 0.5000 0.5000 0.5000



Q) Below is an optimized crystal structure of TlSnTe2I, with properties calculated at the PBE level.

Summary:
SG = P4/mmm
crystal system = tetragonal

Unit cell a=5.7535 b=5.7535 c=6.0521 alpha=90.00 beta=90.00 gamma=90.00
Sites, in units of the cell vectors:
I 0.0000 0.0000 0.5000
Tl 0.0000 0.0000 0.0000
Te 0.5000 0.0000 0.0000
Te 0.0000 0.5000 0.0000
Sn 0.5000 0.5000 0.5000



P) wins, 38.1 kJ/mol of atoms ahead of the next structure.



P) Below is an optimized crystal structure of SnTeWI2, with properties calculated at the PBE level.

Summary:
SG = P4/mmm
crystal system = tetragonal

Unit cell a=5.8280 b=5.8280 c=5.9416 alpha=90.00 beta=90.00 gamma=90.00
Sites, in units of the cell vectors:
I 0.5000 0.0000 0.0000
I 0.0000 0.5000 0.0000
Te 0.0000 0.0000 0.5000
W 0.5000 0.5000 0.5000
Sn 0.0000 0.0000 0.0000



Q) Below is an optimized crystal structure of SnTeWI2, with properties calculated at the PBE level.

Summary:
SG = P4/mmm
crystal system = tetragonal

Unit cell a=5.5611 b=5.5611 c=5.3570 alpha=90.00 beta=90.00 gamma=90.00
Sites, in units of the cell vectors:
Sn 0.5000 0.5000 0.5000
I 0.0000 0.5000 0.0000
I 0.5000 0.0000 0.0000
Te 0.0000 0.0000 0.5000
W 0.0000 0.0000 0.0000



Q) wins, 68.4 kJ/mol of atoms ahead of the next structure.



P) Below is an optimized crystal structure of SnTe2WI, with properties calculated at the PBE level.

Summary:
SG = P4/mmm
crystal system = tetragonal

Unit cell a=5.3467 b=5.3467 c=5.5863 alpha=90.00 beta=90.00 gamma=90.00
Sites, in units of the cell vectors:
Te 0.5000 0.0000 0.0000
Te 0.0000 0.5000 0.0000
W 0.0000 0.0000 0.0000
I 0.0000 0.0000 0.5000
Sn 0.5000 0.5000 0.5000



Q) Below is an optimized crystal structure of SnTe2WI, with properties calculated at the PBE level.

Summary:
SG = P4/mmm
crystal system = tetragonal

Unit cell a=5.7470 b=5.7470 c=5.6881 alpha=90.00 beta=90.00 gamma=90.00
Sites, in units of the cell vectors:
Te 0.0000 0.5000 0.0000
Te 0.5000 0.0000 0.0000
W 0.5000 0.5000 0.5000
Sn 0.0000 0.0000 0.0000
I 0.0000 0.0000 0.5000



P) wins, 83.9 kJ/mol of atoms ahead of the next structure.



P) Below is an optimized crystal structure of ZnSnTeI2, with properties calculated at the PBE level.

Summary:
SG = P4/mmm
crystal system = tetragonal

Unit cell a=5.9883 b=5.9883 c=5.8421 alpha=90.00 beta=90.00 gamma=90.00
Sites, in units of the cell vectors:
Te 0.0000 0.0000 0.5000
Sn 0.0000 0.0000 0.0000
I 0.5000 0.0000 0.0000
I 0.0000 0.5000 0.0000
Zn 0.5000 0.5000 0.5000



Q) Below is an optimized crystal structure of ZnSnTeI2, with properties calculated at the PBE level.

Summary:
SG = P4/mmm
crystal system = tetragonal

Unit cell a=5.4487 b=5.4487 c=5.6377 alpha=90.00 beta=90.00 gamma=90.00
Sites, in units of the cell vectors:
I 0.0000 0.5000 0.0000
I 0.5000 0.0000 0.0000
Sn 0.5000 0.5000 0.5000
Te 0.0000 0.0000 0.5000
Zn 0.0000 0.0000 0.0000



Q) wins, 14.9 kJ/mol of atoms ahead of the next structure.



P) Below is an optimized crystal structure of TiSnI2, with properties calculated at the PBE level.

Summary:
SG = Fm-3m
crystal system = cubic

Unit cell a=5.3398 b=5.3398 c=5.3398 alpha=60.00 beta=60.00 gamma=60.00
Sites, in units of the cell vectors:
Sn 0.5000 0.5000 0.5000
Ti 0.0000 0.0000 0.0000
I 0.2500 0.2500 0.2500
I 0.7500 0.7500 0.7500



Q) Below is an optimized crystal structure of TiSnI2, with properties calculated at the PBE level.

Summary:
SG = R-3m
crystal system = trigonal

Unit cell a=3.6913 b=3.6913 c=10.6420 alpha=80.01 beta=80.01 gamma=60.00
Sites, in units of the cell vectors:
Ti 0.5000 0.5000 0.5000
I 0.1079 0.1079 0.6762
I 0.8921 0.8921 0.3238
Sn 0.0000 0.0000 0.0000



R) Below is an optimized crystal structure of TiSnI2, with properties calculated at the PBE level.

Summary:
SG = I-42d
crystal system = tetragonal

Unit cell a=10.1510 b=10.1510 c=7.7046 alpha=48.79 beta=48.79 gamma=90.00
Sites, in units of the cell vectors:
I 0.3750 0.5244 0.7500
I 0.8750 0.7256 0.7500
I 0.4756 0.1250 0.2500
I 0.2744 0.6250 0.2500
Sn 0.0000 0.0000 0.0000
Sn 0.7500 0.2500 0.5000
Ti 0.5000 0.5000 0.0000
Ti 0.2500 0.7500 0.5000



Q) wins, 10.5 kJ/mol of atoms ahead of the next structure.



P) Below is an optimized crystal structure of TiSnI3, with properties calculated at the PBE level.

Summary:
SG = Pm-3m
crystal system = cubic

Unit cell a=6.0840 b=6.0840 c=6.0840 alpha=90.00 beta=90.00 gamma=90.00
Sites, in units of the cell vectors:
I 0.5000 0.0000 0.0000
I 0.0000 0.0000 0.5000
I 0.0000 0.5000 0.0000
Ti 0.5000 0.5000 0.5000
Sn 0.0000 0.0000 0.0000



Q) Below is an optimized crystal structure of TiSnI3, with properties calculated at the PBE level.

Summary:
SG = Pm-3m
crystal system = cubic

Unit cell a=5.6173 b=5.6173 c=5.6173 alpha=90.00 beta=90.00 gamma=90.00
Sites, in units of the cell vectors:
Ti 0.0000 0.0000 0.0000
I 0.0000 0.5000 0.0000
I 0.0000 0.0000 0.5000
I 0.5000 0.0000 0.0000
Sn 0.5000 0.5000 0.5000



Q) wins, 65.4 kJ/mol of atoms ahead of the next structure.